Here is crystalline Li4Mn5Cr3O16 at its relaxed geometry from Alexandria via LeMat-Bulk. Energies are from PBE+U.

CIF file:
```
data_Li4Mn5Cr3O16
_chemical_formula_sum 'Li8 Mn10 Cr6 O32'
_symmetry_space_group_name_H-M 'C 1 m 1'
_symmetry_Int_Tables_number 8
_cell_length_a 10.218
_cell_length_b 5.841
_cell_length_c 9.519
_cell_angle_alpha 90.00
_cell_angle_beta 91.42
_cell_angle_gamma 90.00
loop_
_symmetry_equiv_pos_as_xyz
'x,y,z'
'x,-y,z'
'x+1/2,y+1/2,z'
'x+1/2,-y+1/2,z'
loop_
_atom_site_label
_atom_site_type_symbol
_atom_site_fract_x
_atom_site_fract_y
_atom_site_fract_z
_atom_site_occupancy
Li1 Li 0.000 0.000 0.000 1
Li2 Li 0.007 0.000 0.503 1
Li3 Li 0.171 0.500 0.903 1
Li4 Li 0.331 0.000 0.407 1
Mn1 Mn 0.081 0.253 0.222 1
Mn2 Mn 0.173 0.500 0.496 1
Mn3 Mn 0.178 0.000 0.720 1
Mn4 Mn 0.341 0.000 0.991 1
Cr1 Cr 0.328 0.500 0.221 1
Cr2 Cr 0.425 0.244 0.719 1
O1 O 0.003 0.000 0.317 1
O2 O 0.016 0.000 0.815 1
O3 O 0.018 0.500 0.346 1
O4 O 0.092 0.244 0.603 1
O5 O 0.158 0.500 0.117 1
O6 O 0.159 0.000 0.116 1
O7 O 0.236 0.278 0.348 1
O8 O 0.267 0.219 0.845 1
O9 O 0.333 0.000 0.612 1
O10 O 0.345 0.500 0.598 1
O11 O 0.420 0.256 0.107 1
O12 O 0.494 0.000 0.840 1
```

Values from the calculation:
DOS(E_F) ... 2.90 states/eV/f.u.
Uncorrected energy ... -6.984 eV per atom
M_tot ... 25.000 μB/f.u.